No. 1
Density functional theory data (GGA-PBE) for a geometry-optimized Tb3IrRu structure.

Summary:
- energy relative to the elements (meV per atom) = -428
- relative energy among the computed polymorphs (meV/atom) = 80
- space group = No. 2

Cell: 6.888 6.900 7.446 Å, 62.35 62.38 59.89°
Sites, in units of the cell vectors:
Tb: 0.597 0.905 0.250
Tb: 0.752 0.404 0.749
Tb: 0.248 0.596 0.251
Tb: 0.095 0.754 0.748
Tb: 0.403 0.095 0.750
Tb: 0.905 0.246 0.252
Ru: 0.172 0.172 0.485
Ru: 0.828 0.828 0.515
Ir: 0.328 0.329 0.014
Ir: 0.672 0.671 0.986

=====

No. 2
Density functional theory data (GGA-PBE) for a geometry-optimized MnHRuAu structure.

Summary:
- relative energy among the computed polymorphs (meV/atom) = 14
- space group = No. 8

Cell: 6.722 2.931 5.071 Å, 90.00 90.13 90.00°
Sites, in units of the cell vectors:
Mn: 0.613 0.500 0.700
Mn: 0.613 0.000 0.200
Au: 0.935 0.000 0.866
Au: 0.935 0.500 0.366
Ru: 0.322 0.000 0.530
Ru: 0.322 0.500 0.030
H: 0.224 0.500 0.696
H: 0.224 0.000 0.196

=====

No. 3
Density functional theory data (GGA-PBE) for a geometry-optimized CaCuAgHg structure.

Summary:
- energy relative to the elements (meV per atom) = -127
- space group = No. 216

Cell: 4.884 4.884 4.884 Å, 60.00 60.00 60.00°
Sites, in units of the cell vectors:
Ag: 0.750 0.750 0.750
Cu: 0.250 0.250 0.250
Hg: 0.000 0.000 0.000
Ca: 0.500 0.500 0.500

=====

No. 4
Density functional theory data (GGA-PBE) for a geometry-optimized BaTi2V structure.

Summary:
- energy relative to the elements (meV per atom) = 978
- relative energy among the computed polymorphs (meV/atom) = 704
- space group = No. 225

Cell: 4.900 4.900 4.900 Å, 60.00 60.00 60.00°
Sites, in units of the cell vectors:
V: 0.000 0.000 0.000
Ti: 0.250 0.250 0.250
Ti: 0.750 0.750 0.750
Ba: 0.500 0.500 0.500

=====

no.,size of the total moment (μB per atom)
1,0.00
2,0.94
3,0.00
4,0.11